Below is a geometry-optimized VCoRuPt2 structure, with properties calculated at the PBE level.

abc: 4.597 4.597 4.104
angles: 90.00 90.00 90.00
Space group P4/mmm (No. 123)
Inequivalent atoms, fractional coordinates:
1 V 0.000 0.000 0.000 (multiplicity 1)
2 Co 0.000 0.000 0.500 (multiplicity 1)
3 Ru 0.500 0.500 0.500 (multiplicity 1)
4 Pt 0.000 0.500 0.000 (multiplicity 2)

As for the total moment: 2.54 μB/f.u. The value obtained for the density of states at the Fermi level is 6.454 states/eV/f.u. Its total energy is -31.9 eV for the cell shown.


Below is a geometry-optimized CoPtS3 structure, with properties calculated at the PBE level.

abc: 4.350 4.350 4.350
angles: 90.00 90.00 90.00
Space group Pm-3m (No. 221)
Inequivalent atoms, fractional coordinates:
1 Co 0.000 0.000 0.000 (multiplicity 1)
2 Pt 0.500 0.500 0.500 (multiplicity 1)
3 S 0.000 0.000 0.500 (multiplicity 3)

As for the total moment: 0.01 μB/f.u. The value obtained for the density of states at the Fermi level is 9.777 states/eV/f.u. For the distance to the lowest polymorph of the same formula, the calculation gives 0 meV per atom. The raw formation energy is 0.746 eV/atom. Its total energy is -21.8 eV for the cell shown.


Below is a geometry-optimized CoPt3S structure, with properties calculated at the PBE level.

abc: 4.568 4.568 4.568
angles: 90.00 90.00 90.00
Space group Pm-3m (No. 221)
Inequivalent atoms, fractional coordinates:
1 Co 0.000 0.000 0.000 (multiplicity 1)
2 Pt 0.000 0.000 0.500 (multiplicity 3)
3 S 0.500 0.500 0.500 (multiplicity 1)

As for the total moment: 3.15 μB/f.u. The value obtained for the density of states at the Fermi level is 5.804 states/eV/f.u. For the distance to the lowest polymorph of the same formula, the calculation gives 595 meV per atom. The raw formation energy is 1.223 eV/atom. Its total energy is -23.2 eV for the cell shown.


Below is a geometry-optimized CoPtS2 structure, with properties calculated at the PBE level.

abc: 6.051 6.051 6.051
angles: 90.00 90.00 90.00
Space group Fm-3m (No. 225)
Inequivalent atoms, fractional coordinates:
1 Co 0.000 0.000 0.000 (multiplicity 4)
2 Pt 0.000 0.000 0.500 (multiplicity 4)
3 S 0.250 0.250 0.250 (multiplicity 8)

As for the total moment: 0.88 μB/f.u. The value obtained for the density of states at the Fermi level is 3.206 states/eV/f.u. The raw formation energy is 0.370 eV/atom. Its total energy is -79.7 eV for the cell shown.


Below is a geometry-optimized CoPtS2 structure, with properties calculated at the PBE level.

abc: 5.255 5.255 10.064
angles: 90.00 90.00 90.00
Space group I-42d (No. 122)
Inequivalent atoms, fractional coordinates:
1 Co 0.000 0.000 0.000 (multiplicity 4)
2 Pt 0.000 0.000 0.500 (multiplicity 4)
3 S 0.216 0.250 0.125 (multiplicity 8)

As for the total moment: 0.51 μB/f.u. The value obtained for the density of states at the Fermi level is 4.343 states/eV/f.u. The raw formation energy is -0.163 eV/atom. Its total energy is -88.2 eV for the cell shown.


Below is a geometry-optimized Co2PtS structure, with properties calculated at the PBE level.

abc: 4.909 4.909 11.129
angles: 90.00 90.00 90.00
Space group I-42d (No. 122)
Inequivalent atoms, fractional coordinates:
1 Co 0.197 0.250 0.125 (multiplicity 8)
2 Pt 0.000 0.000 0.500 (multiplicity 4)
3 S 0.000 0.000 0.000 (multiplicity 4)

As for the total moment: 0.00 μB/f.u. The value obtained for the density of states at the Fermi level is 3.486 states/eV/f.u. The raw formation energy is 0.331 eV/atom. Its total energy is -92.2 eV for the cell shown.


Below is a geometry-optimized CoPt3S structure, with properties calculated at the PBE level.

abc: 4.471 4.471 4.471
angles: 90.00 90.00 90.00
Space group Pm-3m (No. 221)
Inequivalent atoms, fractional coordinates:
1 Co 0.000 0.000 0.000 (multiplicity 1)
2 Pt 0.000 0.500 0.500 (multiplicity 3)
3 S 0.500 0.500 0.500 (multiplicity 1)

As for the total moment: 2.20 μB/f.u. The value obtained for the density of states at the Fermi level is 5.717 states/eV/f.u. For the distance to the lowest polymorph of the same formula, the calculation gives 0 meV per atom. The raw formation energy is 0.628 eV/atom. Its total energy is -26.2 eV for the cell shown.


Below is a geometry-optimized CoPt2S6 structure, with properties calculated at the PBE level.

abc: 5.385 5.385 11.129
angles: 90.00 90.00 90.00
Space group P4_2/mnm (No. 136)
Inequivalent atoms, fractional coordinates:
1 Co 0.000 0.000 0.000 (multiplicity 2)
2 Pt 0.000 0.000 0.333 (multiplicity 4)
3 S 0.187 0.187 0.159 (multiplicity 8)
4 S 0.200 0.200 0.500 (multiplicity 4)

As for the total moment: 2.99 μB/f.u. The value obtained for the density of states at the Fermi level is 7.324 states/eV/f.u. The raw formation energy is -0.040 eV/atom. Its total energy is -88.6 eV for the cell shown.


Below is a geometry-optimized SrCoPt2S structure, with properties calculated at the PBE level.

abc: 4.755 4.755 4.220
angles: 90.00 90.00 90.00
Space group P4/mmm (No. 123)
Inequivalent atoms, fractional coordinates:
1 Sr 0.000 0.000 0.000 (multiplicity 1)
2 Co 0.500 0.500 0.000 (multiplicity 1)
3 Pt 0.000 0.500 0.500 (multiplicity 2)
4 S 0.500 0.500 0.500 (multiplicity 1)

As for the total moment: 1.09 μB/f.u. The value obtained for the density of states at the Fermi level is 3.610 states/eV/f.u. The raw formation energy is -0.255 eV/atom. Its total energy is -26.3 eV for the cell shown.


Below is a geometry-optimized Ti2CoPtS structure, with properties calculated at the PBE level.

abc: 4.380 4.380 4.635
angles: 90.00 90.00 90.00
Space group P4/mmm (No. 123)
Inequivalent atoms, fractional coordinates:
1 Ti 0.000 0.500 0.000 (multiplicity 2)
2 Co 0.000 0.000 0.000 (multiplicity 1)
3 Pt 0.000 0.000 0.500 (multiplicity 1)
4 S 0.500 0.500 0.500 (multiplicity 1)

As for the total moment: 0.00 μB/f.u. The value obtained for the density of states at the Fermi level is 5.150 states/eV/f.u. The raw formation energy is 0.304 eV/atom. Its total energy is -31.5 eV for the cell shown.


Below is a geometry-optimized VCo2PtS structure, with properties calculated at the PBE level.

abc: 4.235 4.235 4.315
angles: 90.00 90.00 90.00
Space group P4/mmm (No. 123)
Inequivalent atoms, fractional coordinates:
1 V 0.000 0.000 0.000 (multiplicity 1)
2 Co 0.000 0.500 0.000 (multiplicity 2)
3 Pt 0.500 0.500 0.500 (multiplicity 1)
4 S 0.000 0.000 0.500 (multiplicity 1)

As for the total moment: 1.48 μB/f.u. The value obtained for the density of states at the Fermi level is 5.650 states/eV/f.u. The raw formation energy is 0.881 eV/atom. Its total energy is -29.1 eV for the cell shown.


Below is a geometry-optimized CoSbPt4 structure, with properties calculated at the PBE level.

abc: 7.509 7.509 7.509
angles: 90.00 90.00 90.00
Space group F-43m (No. 216)
Inequivalent atoms, fractional coordinates:
1 Co 0.000 0.000 0.000 (multiplicity 4)
2 Sb 0.250 0.250 0.250 (multiplicity 4)
3 Pt 0.125 0.125 0.625 (multiplicity 16)

As for the total moment: 2.12 μB/f.u. The value obtained for the density of states at the Fermi level is 10.740 states/eV/f.u. The raw formation energy is 0.208 eV/atom. Its total energy is -136.6 eV for the cell shown.


Below is a geometry-optimized Co2Sb2Pt structure, with properties calculated at the PBE level.

abc: 6.981 6.981 3.258
angles: 90.00 90.00 90.00
Space group P4/mbm (No. 127)
Inequivalent atoms, fractional coordinates:
1 Co 0.130 0.370 0.000 (multiplicity 4)
2 Sb 0.169 0.669 0.500 (multiplicity 4)
3 Pt 0.000 0.000 0.000 (multiplicity 2)

As for the total moment: 0.00 μB/f.u. The value obtained for the density of states at the Fermi level is 4.054 states/eV/f.u. The raw formation energy is 0.021 eV/atom. Its total energy is -56.8 eV for the cell shown.


Below is a geometry-optimized CoSb6Pt2 structure, with properties calculated at the PBE level.

abc: 6.018 6.018 12.497
angles: 90.00 90.00 90.00
Space group P4_2/mnm (No. 136)
Inequivalent atoms, fractional coordinates:
1 Co 0.000 0.000 0.000 (multiplicity 2)
2 Sb 0.191 0.191 0.157 (multiplicity 8)
3 Sb 0.208 0.208 0.500 (multiplicity 4)
4 Pt 0.000 0.000 0.332 (multiplicity 4)

As for the total moment: 0.00 μB/f.u. The value obtained for the density of states at the Fermi level is 4.716 states/eV/f.u. The raw formation energy is -0.092 eV/atom. Its total energy is -89.5 eV for the cell shown.


Below is a geometry-optimized Co4SbPt structure, with properties calculated at the PBE level.

abc: 6.871 6.871 6.871
angles: 90.00 90.00 90.00
Space group F-43m (No. 216)
Inequivalent atoms, fractional coordinates:
1 Co 0.124 0.124 0.124 (multiplicity 16)
2 Sb 0.000 0.000 0.500 (multiplicity 4)
3 Pt 0.250 0.250 0.750 (multiplicity 4)

As for the total moment: 6.99 μB/f.u. The value obtained for the density of states at the Fermi level is 10.867 states/eV/f.u. The raw formation energy is 0.170 eV/atom. Its total energy is -150.3 eV for the cell shown.


Below is a geometry-optimized CoSb3Pt structure, with properties calculated at the PBE level.

abc: 4.836 4.836 4.836
angles: 90.00 90.00 90.00
Space group Pm-3m (No. 221)
Inequivalent atoms, fractional coordinates:
1 Co 0.000 0.000 0.000 (multiplicity 1)
2 Sb 0.000 0.000 0.500 (multiplicity 3)
3 Pt 0.500 0.500 0.500 (multiplicity 1)

As for the total moment: 0.00 μB/f.u. The value obtained for the density of states at the Fermi level is 1.698 states/eV/f.u. For the distance to the lowest polymorph of the same formula, the calculation gives 0 meV per atom. The raw formation energy is 0.407 eV/atom. Its total energy is -23.5 eV for the cell shown.


Below is a geometry-optimized CoSb4Pt structure, with properties calculated at the PBE level.

abc: 6.401 6.415 6.399
angles: 90.00 91.79 90.00
Space group P2_1/c (No. 14)
Inequivalent atoms, fractional coordinates:
1 Co 0.000 0.000 0.000 (multiplicity 2)
2 Sb 0.115 0.136 0.641 (multiplicity 4)
3 Sb 0.358 0.624 0.615 (multiplicity 4)
4 Pt 0.500 0.000 0.500 (multiplicity 2)

As for the total moment: 0.00 μB/f.u. The value obtained for the density of states at the Fermi level is 4.605 states/eV/f.u. For the distance to the lowest polymorph of the same formula, the calculation gives 0 meV per atom. The raw formation energy is -0.273 eV/atom. Its total energy is -62.5 eV for the cell shown.


Below is a geometry-optimized CoSb4Pt structure, with properties calculated at the PBE level.

abc: 8.475 8.475 8.475
angles: 90.00 90.00 90.00
Space group F-43m (No. 216)
Inequivalent atoms, fractional coordinates:
1 Co 0.000 0.000 0.000 (multiplicity 4)
2 Sb 0.125 0.125 0.375 (multiplicity 16)
3 Pt 0.250 0.250 0.750 (multiplicity 4)

As for the total moment: 2.37 μB/f.u. The value obtained for the density of states at the Fermi level is 8.341 states/eV/f.u. For the distance to the lowest polymorph of the same formula, the calculation gives 1272 meV per atom. The raw formation energy is 1.000 eV/atom. Its total energy is -94.6 eV for the cell shown.


Below is a geometry-optimized CoSb6Pt structure, with properties calculated at the PBE level.

abc: 13.170 9.323 9.347
angles: 90.00 134.78 90.00
Space group C2/m (No. 12)
Inequivalent atoms, fractional coordinates:
1 Co 0.250 0.250 0.000 (multiplicity 4)
2 Sb 0.010 0.162 0.666 (multiplicity 8)
3 Sb 0.151 0.500 0.302 (multiplicity 4)
4 Sb 0.161 0.157 0.152 (multiplicity 8)
5 Sb 0.161 0.500 0.990 (multiplicity 4)
6 Pt 0.250 0.250 0.500 (multiplicity 4)

As for the total moment: 0.00 μB/f.u. The value obtained for the density of states at the Fermi level is 4.105 states/eV/f.u. The raw formation energy is -0.249 eV/atom. Its total energy is -159.5 eV for the cell shown.


Below is a geometry-optimized Co2Sb6Pt structure, with properties calculated at the PBE level.

abc: 6.6659 6.6659 5.1661
angles: 90.00 90.00 120.00
Space group P-31m (No. 162)
Inequivalent atoms, fractional coordinates:
1 Co 0.3333 0.6667 0.0000 (multiplicity 2)
2 Sb 0.0000 0.3601 0.2566 (multiplicity 6)
3 Pt 0.0000 0.0000 0.5000 (multiplicity 1)

As for the total moment: 0.00 μB/f.u. The value obtained for the density of states at the Fermi level is 5.635 states/eV/f.u. The raw formation energy is -0.220 eV/atom. Its total energy is -47.0 eV for the cell shown.


Below is a geometry-optimized ScCoSb2Pt structure, with properties calculated at the PBE level.

abc: 5.199 5.199 4.993
angles: 90.00 90.00 90.00
Space group P4/mmm (No. 123)
Inequivalent atoms, fractional coordinates:
1 Sc 0.000 0.000 0.000 (multiplicity 1)
2 Co 0.500 0.500 0.000 (multiplicity 1)
3 Sb 0.000 0.500 0.500 (multiplicity 2)
4 Pt 0.000 0.000 0.500 (multiplicity 1)

As for the total moment: 1.96 μB/f.u. The value obtained for the density of states at the Fermi level is 7.814 states/eV/f.u. The raw formation energy is 0.589 eV/atom. Its total energy is -24.8 eV for the cell shown.


Below is a geometry-optimized CoSn2SbPt structure, with properties calculated at the PBE level.

abc: 4.795 4.795 4.957
angles: 90.00 90.00 90.00
Space group P4/mmm (No. 123)
Inequivalent atoms, fractional coordinates:
1 Co 0.000 0.000 0.000 (multiplicity 1)
2 Sn 0.000 0.500 0.000 (multiplicity 2)
3 Sb 0.500 0.500 0.500 (multiplicity 1)
4 Pt 0.000 0.000 0.500 (multiplicity 1)

As for the total moment: 0.93 μB/f.u. The value obtained for the density of states at the Fermi level is 5.941 states/eV/f.u. The raw formation energy is 0.322 eV/atom. Its total energy is -23.7 eV for the cell shown.


Below is a geometry-optimized TaCoSb2Pt structure, with properties calculated at the PBE level.

abc: 4.710 4.710 4.698
angles: 90.00 90.00 90.00
Space group P4/mmm (No. 123)
Inequivalent atoms, fractional coordinates:
1 Ta 0.000 0.000 0.000 (multiplicity 1)
2 Co 0.500 0.500 0.500 (multiplicity 1)
3 Sb 0.000 0.500 0.500 (multiplicity 2)
4 Pt 0.500 0.500 0.000 (multiplicity 1)

As for the total moment: 0.12 μB/f.u. The value obtained for the density of states at the Fermi level is 9.560 states/eV/f.u. For the distance to the lowest polymorph of the same formula, the calculation gives 0 meV per atom. The raw formation energy is 0.871 eV/atom. Its total energy is -28.9 eV for the cell shown.


Below is a geometry-optimized TaCoSb2Pt structure, with properties calculated at the PBE level.

abc: 5.125 5.125 4.540
angles: 90.00 90.00 90.00
Space group P4/mmm (No. 123)
Inequivalent atoms, fractional coordinates:
1 Ta 0.000 0.000 0.000 (multiplicity 1)
2 Co 0.500 0.500 0.000 (multiplicity 1)
3 Sb 0.000 0.500 0.500 (multiplicity 2)
4 Pt 0.500 0.500 0.500 (multiplicity 1)

As for the total moment: 0.83 μB/f.u. The value obtained for the density of states at the Fermi level is 5.747 states/eV/f.u. For the distance to the lowest polymorph of the same formula, the calculation gives 255 meV per atom. The raw formation energy is 1.126 eV/atom. Its total energy is -27.6 eV for the cell shown.


Below is a geometry-optimized CoSb2TePt structure, with properties calculated at the PBE level.

abc: 5.761 5.761 4.876
angles: 90.00 90.00 90.00
Space group P4/mmm (No. 123)
Inequivalent atoms, fractional coordinates:
1 Co 0.000 0.000 0.000 (multiplicity 1)
2 Sb 0.000 0.500 0.500 (multiplicity 2)
3 Te 0.500 0.500 0.500 (multiplicity 1)
4 Pt 0.500 0.500 0.000 (multiplicity 1)

As for the total moment: 1.98 μB/f.u. The value obtained for the density of states at the Fermi level is 8.003 states/eV/f.u. For the distance to the lowest polymorph of the same formula, the calculation gives 916 meV per atom. The raw formation energy is 1.400 eV/atom. Its total energy is -17.5 eV for the cell shown.